Record 1
Material: Tb11Tl9Au4
Method: DFT, PBE
State: relaxed

Results
Formation enthalpy at 0 K ... -1209 kJ/mol of formula units
Energy ... -4.08 eV per atom
Crystal system ... orthorhombic
Calculated density ... 11.5 g cm⁻³
Total magnetization ... 0.001 μB per formula unit
Symmetry ... Cmmm

Cell: 13.492 13.492 3.775 Å, 90.00 90.00 112.85°
Sites, in units of the cell vectors:
Tb 0.000 0.000 0.000
Tb 0.074 0.414 0.000
Tb 0.163 0.837 0.000
Tb 0.301 0.301 0.000
Tb 0.368 0.632 0.000
Tb 0.414 0.074 0.000
Tb 0.586 0.926 0.000
Tb 0.632 0.368 0.000
Tb 0.699 0.699 0.000
Tb 0.837 0.163 0.000
Tb 0.926 0.586 0.000
Tl 0.062 0.212 0.500
Tl 0.148 0.632 0.500
Tl 0.212 0.062 0.500
Tl 0.368 0.852 0.500
Tl 0.500 0.500 0.500
Tl 0.632 0.148 0.500
Tl 0.788 0.938 0.500
Tl 0.852 0.368 0.500
Tl 0.938 0.788 0.500
Au 0.251 0.450 0.500
Au 0.450 0.251 0.500
Au 0.550 0.749 0.500
Au 0.749 0.550 0.500

---

Record 2
Material: As2PbSBr
Method: DFT, PBE
State: relaxed

Results
Energy ... -2.70 eV per atom
Crystal system ... tetragonal
Raw formation energy ... 5.30 eV per formula unit
Calculated density ... 4.5 g cm⁻³
Total magnetization ... 0.976 μB per formula unit
Energy above the lowest structure with this stoichiometry ... 644 meV/atom
Symmetry ... P4/mmm

Cell: 5.594 5.594 5.540 Å, 90.00 90.00 90.00°
Sites, in units of the cell vectors:
As 0.000 0.500 0.000
As 0.500 0.000 0.000
Pb 0.000 0.000 0.000
S 0.500 0.500 0.500
Br 0.000 0.000 0.500

---

Record 3
Material: YTi2GaO
Method: DFT, PBE
State: relaxed

Results
Energy ... -7.25 eV per atom
Crystal system ... tetragonal
Raw formation energy ... -6.00 eV per formula unit
Calculated density ... 5.5 g cm⁻³
Total magnetization ... 0.659 μB per formula unit
Symmetry ... P4/mmm

Cell: 4.163 4.163 4.705 Å, 90.00 90.00 90.00°
Sites, in units of the cell vectors:
Y 0.000 0.000 0.000
Ti 0.000 0.500 0.500
Ti 0.500 0.000 0.500
Ga 0.500 0.500 0.000
O 0.000 0.000 0.500

---

Record 4
Material: AsIr3N
Method: DFT, PBE
State: relaxed

Results
Energy ... -7.11 eV per atom
Crystal system ... cubic
Raw formation energy ... 4.02 eV per formula unit
Calculated density ... 15.5 g cm⁻³
Total magnetization ... 0.002 μB per formula unit
Energy above the lowest structure with this stoichiometry ... 0 meV/atom
Symmetry ... Pm-3m

Cell: 4.145 4.145 4.145 Å, 90.00 90.00 90.00°
Sites, in units of the cell vectors:
As 0.000 0.000 0.000
Ir 0.000 0.500 0.500
Ir 0.500 0.000 0.500
Ir 0.500 0.500 0.000
N 0.500 0.500 0.500

---

Record 5
Material: BaGaO
Method: DFT, PBE
State: relaxed

Results
Energy ... -4.85 eV per atom
Crystal system ... orthorhombic
Raw formation energy ... -4.63 eV per formula unit
Calculated density ... 4.7 g cm⁻³
Total magnetization ... 0.000 μB per formula unit
Energy above the lowest structure with this stoichiometry ... 46 meV/atom
Symmetry ... Pnma

Cell: 6.157 4.410 11.688 Å, 90.00 90.00 90.00°
Sites, in units of the cell vectors:
Ba 0.027 0.250 0.138
Ba 0.473 0.750 0.638
Ba 0.527 0.250 0.362
Ba 0.973 0.750 0.862
Ga 0.041 0.750 0.441
Ga 0.459 0.250 0.941
Ga 0.541 0.750 0.059
Ga 0.959 0.250 0.559
O 0.146 0.250 0.925
O 0.354 0.750 0.425
O 0.646 0.250 0.575
O 0.854 0.750 0.075

---

Record 6
Material: ErAuF
Method: DFT, PBE
State: relaxed

Results
Energy ... -5.20 eV per atom
Crystal system ... tetragonal
Raw formation energy ... -5.89 eV per formula unit
Calculated density ... 8.1 g cm⁻³
Total magnetization ... 0.000 μB per formula unit
Symmetry ... P4_2/mmc

Cell: 7.244 7.244 6.016 Å, 90.00 90.00 90.00°
Sites, in units of the cell vectors:
Er 0.000 0.264 0.000
Er 0.000 0.736 0.000
Er 0.264 0.000 0.500
Er 0.736 0.000 0.500
Au 0.000 0.303 0.500
Au 0.000 0.697 0.500
Au 0.303 0.000 0.000
Au 0.697 0.000 0.000
F 0.183 0.500 0.000
F 0.500 0.183 0.500
F 0.500 0.817 0.500
F 0.817 0.500 0.000